Density functional theory data (GGA-PBE) for crystalline U3Zn4 at its relaxed geometry.

As for the volume: 242.2 Å³/cell. The value obtained for the calculated formation energy is 0.12 eV/atom. The calculation puts the energy above the most stable polymorph in this dataset at 0.000 eV per atom. The space group is P2_1/m.

```
14
Lattice="8.6470 0.0000 0.0000 0.0000 3.7219 0.0000 -4.3037 0.0000 7.5249" Properties=species:S:1:pos:R:3 pbc="T T T"
U -0.4403 0.9305 2.7604
U -2.1421 0.9305 5.7714
U -0.4271 2.7914 4.7691
U 4.7705 0.9305 2.7558
U 6.4854 2.7914 1.7535
U 4.7836 2.7914 4.7645
Zn 0.6952 2.7914 0.4080
Zn 2.1630 0.9305 1.2563
Zn 3.6271 2.7914 0.4010
Zn 2.1737 2.7914 2.9562
Zn 2.1696 0.9305 4.5687
Zn 0.7163 0.9305 7.1240
Zn 2.1803 2.7914 6.2686
Zn 3.6482 0.9305 7.1169
```


Density functional theory data (GGA-PBE) for crystalline UZn at its relaxed geometry.

As for the volume: 227.4 Å³/cell. The value obtained for the calculated formation energy is 0.13 eV/atom. The space group is Pmc2_1.

```
12
Lattice="4.5800 0.0000 0.0000 0.0000 10.2370 0.0000 0.0000 0.0000 4.8492" Properties=species:S:1:pos:R:3 pbc="T T T"
U 0.0000 1.2635 0.0000
U 0.0000 2.5258 2.6367
U 0.0000 7.7112 0.2121
U 0.0000 8.9735 2.4246
U 2.2900 2.4390 0.3952
U 2.2900 7.7980 2.8198
Zn 0.0000 4.4800 0.0659
Zn 0.0000 5.7570 2.4905
Zn 2.2900 0.6222 2.8276
Zn 2.2900 4.6034 3.2020
Zn 2.2900 5.6336 0.7774
Zn 2.2900 9.6147 0.4030
```


Density functional theory data (GGA-PBE) for crystalline UZn2 at its relaxed geometry.

As for the volume: 226.0 Å³/cell. The value obtained for the calculated formation energy is 0.18 eV/atom. The space group is Cmcm.

```
12
Lattice="2.7539 0.0000 0.0000 0.0000 15.7241 0.0000 0.0000 0.0000 5.2188" Properties=species:S:1:pos:R:3 pbc="T T T"
U 0.0000 1.7934 1.3047
U 0.0000 13.9306 3.9141
U 1.3770 6.0686 3.9141
U 1.3770 9.6554 1.3047
Zn 0.0000 3.3500 3.9141
Zn 0.0000 6.9412 1.3047
Zn 0.0000 8.7828 3.9141
Zn 0.0000 12.3740 1.3047
Zn 1.3770 0.9208 3.9141
Zn 1.3770 4.5120 1.3047
Zn 1.3770 11.2120 3.9141
Zn 1.3770 14.8032 1.3047
```


Density functional theory data (GGA-PBE) for crystalline UZn at its relaxed geometry.

As for the volume: 202.6 Å³/cell. The value obtained for the calculated formation energy is 0.91 eV/atom. The space group is Fm-3m.

```
8
Lattice="5.8733 0.0000 0.0000 0.0000 5.8733 0.0000 0.0000 0.0000 5.8733" Properties=species:S:1:pos:R:3 pbc="T T T"
U 0.0000 0.0000 0.0000
U 0.0000 2.9367 2.9367
U 2.9367 0.0000 2.9367
U 2.9367 2.9367 0.0000
Zn 0.0000 0.0000 2.9367
Zn 0.0000 2.9367 0.0000
Zn 2.9367 0.0000 0.0000
Zn 2.9367 2.9367 2.9367
```